No. 1
KBeAg (PBE, relaxed); uncorrected energy = -5.1 eV for the cell shown; E above lowest polymorph = 499 meV/atom; density of states at the Fermi level = 0.54 states/eV per atom; calculated formation energy = 84 kJ per mole of atoms
1.0
0.000 3.503 3.503
3.503 0.000 3.503
3.503 3.503 0.000
K Be Ag
1 1 1
direct
0.000 0.000 0.000
0.500 0.500 0.500
0.750 0.750 0.750



No. 2
KBeAg (PBE, relaxed); uncorrected energy = -6.3 eV for the cell shown; E above lowest polymorph = 77 meV/atom; density of states at the Fermi level = 0.50 states/eV per atom; calculated formation energy = 43 kJ per mole of atoms
1.0
4.081 0.000 0.000
-2.040 3.534 0.000
0.000 0.000 5.464
K Be Ag
1 1 1
direct
0.000 0.000 0.000
0.667 0.333 0.500
0.333 0.667 0.500



No. 3
KBeAg (PBE, relaxed); uncorrected energy = -4.1 eV for the cell shown; E above lowest polymorph = 833 meV/atom; density of states at the Fermi level = 0.19 states/eV per atom; calculated formation energy = 116 kJ per mole of atoms
1.0
0.000 3.778 3.778
3.778 0.000 3.778
3.778 3.778 0.000
K Be Ag
1 1 1
direct
0.000 0.000 0.000
0.250 0.250 0.250
0.750 0.750 0.750



No. 4
KBeNbAg2 (PBE, relaxed); uncorrected energy = -11.8 eV for the cell shown; density of states at the Fermi level = 0.80 states/eV per atom; calculated formation energy = 171 kJ per mole of atoms
1.0
5.392 0.000 0.000
0.000 5.392 0.000
0.000 0.000 6.518
K Be Nb Ag
1 1 1 2
direct
0.000 0.000 0.000
0.500 0.500 0.000
0.000 0.000 0.500
0.000 0.500 0.500
0.500 0.000 0.500



No. 5
KBeAgP (PBE, relaxed); uncorrected energy = -13.1 eV for the cell shown; density of states at the Fermi level = 0.69 states/eV per atom; calculated formation energy = 0 kJ per mole of atoms
1.0
3.698 0.000 0.000
0.000 2.133 5.974
0.000 -2.133 5.974
K Be Ag P
1 1 1 1
direct
0.000 0.000 0.000
0.000 0.278 0.278
0.500 0.737 0.737
0.500 0.351 0.351



No. 6
KBeAgRh2 (PBE, relaxed); uncorrected energy = -11.4 eV for the cell shown; density of states at the Fermi level = 0.59 states/eV per atom; calculated formation energy = 213 kJ per mole of atoms
1.0
4.731 0.000 0.000
0.000 4.731 0.000
0.000 0.000 4.993
K Be Ag Rh
1 1 1 2
direct
0.000 0.000 0.000
0.500 0.500 0.500
0.000 0.000 0.500
0.000 0.500 0.000
0.500 0.000 0.000